Entry 1:
InReF2 | GGA-PBE | relaxed

CIF file:
```
data_InReF2
_space_group_name_H-M_alt 'R -3 m'
_space_group_IT_number 166
_space_group_name_Hall '-R 3 2"'
_cell_length_a 2.8539
_cell_length_b 2.8539
_cell_length_c 25.2999
_cell_angle_alpha 90.00
_cell_angle_beta 90.00
_cell_angle_gamma 120.00
loop_
_atom_site_label
_atom_site_type_symbol
_atom_site_fract_x
_atom_site_fract_y
_atom_site_fract_z
_atom_site_occupancy
In1 In 0.0000 0.0000 0.0000 1
Re1 Re 0.0000 0.0000 0.5000 1
F1 F 0.0000 0.0000 0.4216 1
```

Results
DOS at the Fermi energy   3.911 states/eV/cell
DFT total energy   -68.67 eV per cell
Formation energy from raw total energies   -0.99 eV per atom

=====

Entry 2:
InReF2 | GGA-PBE | relaxed

CIF file:
```
data_InReF2
_space_group_name_H-M_alt 'I -4 2 d'
_space_group_IT_number 122
_space_group_name_Hall 'I -4 2bw'
_cell_length_a 4.004
_cell_length_b 4.004
_cell_length_c 15.648
_cell_angle_alpha 90.00
_cell_angle_beta 90.00
_cell_angle_gamma 90.00
loop_
_atom_site_label
_atom_site_type_symbol
_atom_site_fract_x
_atom_site_fract_y
_atom_site_fract_z
_atom_site_occupancy
In1 In 0.000 0.000 0.000 1
Re1 Re 0.000 0.000 0.500 1
F1 F 0.174 0.250 0.625 1
```

Results
DOS at the Fermi energy   7.767 states/eV/cell
DFT total energy   -81.51 eV per cell
Formation energy from raw total energies   -0.36 eV per atom